No. 1
# IrCl3F

Crystalline IrCl3F at its relaxed geometry (GGA-PBE, Alexandria).

Cell lengths 8.0648, 6.5280, 10.8205 Å; angles 88.53, 90.00, 90.00 degrees
Element x y z (fractional)
Ir: 0.8453 0.9277 0.8973
Cl: 0.8147 0.6230 0.9970
Cl: 0.1853 0.6230 0.4970
Ir: 0.8453 0.0723 0.6027
Cl: 0.8625 0.9069 0.4161
F: 0.8640 0.8076 0.7221
F: 0.1360 0.1924 0.2779
Ir: 0.1547 0.0723 0.1027
F: 0.8640 0.1924 0.7779
Ir: 0.1547 0.9277 0.3973
Cl: 0.4327 0.9817 0.3789
Cl: 0.1375 0.0931 0.5839
Cl: 0.1853 0.3770 0.0030
Cl: 0.1375 0.9069 0.9161
Cl: 0.8625 0.0931 0.0839
F: 0.1360 0.8076 0.2221
Cl: 0.5673 0.9817 0.8789
Cl: 0.8147 0.3770 0.5030
Cl: 0.4327 0.0183 0.1211
Cl: 0.5673 0.0183 0.6211

Properties
total DFT energy (no corrections)	-3.85	eV/atom
space group	No. 13


No. 2
# IrClF2

Crystalline IrClF2 at its relaxed geometry (GGA-PBE, Alexandria).

Cell lengths 4.0596, 4.0596, 7.7821 Å; angles 74.88, 74.88, 90.00 degrees
Element x y z (fractional)
Cl: 0.5000 0.5000 0.0000
Cl: 0.2500 0.7500 0.5000
F: 0.9808 0.6250 0.2500
Ir: 0.0000 0.0000 0.0000
F: 0.7692 0.1250 0.2500
Ir: 0.7500 0.2500 0.5000
F: 0.3750 0.2308 0.7500
F: 0.8750 0.0192 0.7500

Properties
total DFT energy (no corrections)	-3.60	eV/atom
space group	No. 122


Values of magnetic moment, in order: 1.95, 0.00, all in μB/cell.
Values of energy relative to the elements, uncorrected, in order: -287, 3, all in kJ/mol of formula units.
Values of ΔE to the lowest computed polymorph, in order: 9.2, 564.8, all in meV per atom.